(1)
The following is a DFT calculation (GGA-PBE) of a relaxed AcPrGaRh crystal.

Computed properties:
* magnetization: 0.0 μB per formula unit
* calculated total energy: -5.431 eV per atom
* space-group type: No. 38
* DOS(E_F): 3.9 states/eV/f.u.

Unit cell a=4.1532 b=4.4254 c=6.3106 alpha=90.00 beta=109.21 gamma=90.00
Last column: nearest neighbours and their distance in Å.
Fractional positions:
Ac (0.7505, 0.5000, 0.5011)  4 Rh 3.20, 3 Ga 3.26-3.45
Pr (0.0219, 0.0000, 0.0437)  2 Rh 3.03, 4 Ga 3.12
Ga (0.4609, 0.5000, 0.9218)  2 Rh 2.66
Rh (0.3363, 0.0000, 0.6726)  2 Ga 2.66



(2)
The following is a DFT calculation (GGA-PBE) of a relaxed AcPrGa2Rh2 crystal.

Computed properties:
* magnetization: 0.0 μB per formula unit
* calculated total energy: -5.688 eV per atom
* space-group type: No. 164
* DOS(E_F): 4.5 states/eV/f.u.

Unit cell a=4.4177 b=4.4177 c=8.1424 alpha=90.00 beta=90.00 gamma=120.00
Last column: nearest neighbours and their distance in Å.
Fractional positions:
Ac (0.0000, 0.0000, 0.0000)  6 Rh 3.33, 6 Ga 3.36
Pr (0.0000, 0.0000, 0.5000)  6 Ga 3.17, 6 Rh 3.20
Ga (0.6667, 0.3333, 0.7314)  3 Rh 2.55
Ga (0.3333, 0.6667, 0.2686)  3 Rh 2.55
Rh (0.6667, 0.3333, 0.2626)  3 Ga 2.55
Rh (0.3333, 0.6667, 0.7374)  3 Ga 2.55